The following is a PBE calculation of crystalline MgAlGaIr at its relaxed geometry, from the Alexandria database.

## Properties
E = -4.745 eV per atom
Spin magnetization = 0.0000 μB/atom
SG = No. 160
Excess energy over the best structure of this formula in the dataset = 0.00 kcal/mol of atoms
Energy relative to the elements = -0.4391 eV per atom

Cell: 5.2856 5.2856 5.2856 Å, 47.23 47.23 47.23°
With the nearest neighbours (Å) after each atom.
Atoms (fractional coordinates):
Mg (0.0000, 0.0000, 0.0000)  1 Ir 2.66, 3 Ga 2.86, 1 Al 2.89
Al (0.2052, 0.2052, 0.2052)  3 Ir 2.59, 3 Ga 2.82, 1 Mg 2.89
Ga (0.4386, 0.4386, 0.4386)  3 Ir 2.51
Ir (0.8108, 0.8108, 0.8108)  3 Ga 2.51, 3 Al 2.59, 1 Mg 2.66